Below is a relaxed CeGePb2S5 crystal, with properties calculated at the GGA-PBE level.

Output
Total energy in eV per atom: -5.11
Uncorrected formation energy in kcal/mol of atoms: -18.84

Cell: 9.052 9.052 13.385 Å, 90.00 90.00 153.60°
Fractional coordinates of all 18 atoms:
Ce 0.221 0.779 0.500
Ce 0.779 0.221 0.000
Ge 0.451 0.549 0.928
Ge 0.549 0.451 0.428
Pb 0.103 0.897 0.121
Pb 0.110 0.890 0.752
Pb 0.890 0.110 0.252
Pb 0.897 0.103 0.621
S 0.067 0.933 0.541
S 0.267 0.733 0.136
S 0.320 0.680 0.873
S 0.374 0.626 0.478
S 0.497 0.503 0.245
S 0.503 0.497 0.745
S 0.626 0.374 0.978
S 0.680 0.320 0.373
S 0.733 0.267 0.636
S 0.933 0.067 0.041